First-principles (GGA-PBEsol) data for a relaxed MnNiGe crystal, as listed in Alexandria.

a b c (Å): 5.8498 3.6334 6.9966
angles (deg): 90.00 90.00 90.00
With the nearest neighbours (Å) after each atom.
Space group Pnma (No. 62)
Symmetry-distinct sites (fractional):
Mn1 0.0353 0.2500 0.1804 [4 per cell]  5 Ge 2.49-2.59, 5 Ni 2.71-2.78
Ni1 0.1431 0.2500 0.5578 [4 per cell]  4 Ge 2.29-2.35
Ge1 0.2497 0.2500 0.8733 [4 per cell]  4 Ni 2.29-2.35, 3 Mn 2.49

## Properties
Total magnetic moment in μB/atom: 0.958
Energy of formation from the pure elements in eV per formula unit: -0.75
DOS at the Fermi energy in states/eV/cell: 3.3